A relaxed structure of Pm2USi4Ir3, computed with PBE-GGA.

Its uncorrected formation energy is -743 meV/atom. For the density of states at the Fermi level, the calculation gives 9.65 states/eV per cell. The space group is No. 115.

Lattice parameters (Å, degrees): 4.1834 4.1834 10.9308 90.00 90.00 90.00
With the nearest neighbours (Å) after each atom.
Element x y z (fractional)
Pm  0.0000  0.5000  0.2321  8 Si 3.14-3.29, 4 Ir 3.24
Pm  0.5000  0.0000  0.7679  8 Si 3.14-3.29, 4 Ir 3.24
U  0.0000  0.0000  0.5000  4 Si 2.81, 4 Ir 2.96
Si  0.0000  0.0000  0.0000  4 Ir 2.42
Si  0.0000  0.5000  0.6721  1 Ir 2.36
Si  0.5000  0.0000  0.3279  1 Ir 2.36
Si  0.5000  0.5000  0.0000  4 Ir 2.42
Ir  0.0000  0.5000  0.8883  5 Si 2.36-2.42
Ir  0.5000  0.0000  0.1117  5 Si 2.36-2.42
Ir  0.5000  0.5000  0.5000  4 Si 2.81, 4 U 2.96